Entry 1:
This record from the Alexandria database describes crystalline Re2AsRu at its relaxed geometry. The functional is GGA-PBE.

Computed properties:
As for the formation enthalpy at 0 K: 0.27 eV per atom. Its volume is 14.959 Å³ per atom. The total magnetization is 0.00 μB/atom.

POSCAR file:
```
Re2AsRu
1.0
4.555 -1.425 0.000
4.555 1.425 0.000
-0.388 0.000 4.610
Re As Ru
2 1 1
Cartesian
0.000 0.000 0.000 Re
6.661 0.000 0.973 Re
4.419 0.000 2.311 As
2.181 0.000 3.350 Ru
```

Entry 2:
This record from the Alexandria database describes crystalline Re3AsRu at its relaxed geometry. The functional is GGA-PBE.

Computed properties:
As for the formation enthalpy at 0 K: 2.23 eV per atom. Its volume is 20.342 Å³ per atom. The total magnetization is 0.03 μB/atom.

POSCAR file:
```
Re3AsRu
1.0
4.668 0.000 0.000
0.000 4.668 0.000
0.000 0.000 4.668
Re As Ru
3 1 1
Cartesian
0.000 0.000 2.334 Re
0.000 2.334 0.000 Re
2.334 0.000 0.000 Re
2.334 2.334 2.334 As
0.000 0.000 0.000 Ru
```

Entry 3:
This record from the Alexandria database describes crystalline Re2AsRu at its relaxed geometry. The functional is GGA-PBE.

Computed properties:
As for the formation enthalpy at 0 K: 0.16 eV per atom. Its volume is 14.898 Å³ per atom. The total magnetization is 0.00 μB/atom.

POSCAR file:
```
Re2AsRu
1.0
2.838 0.000 0.000
0.000 3.960 0.000
-1.411 0.000 5.303
Re As Ru
2 1 1
Cartesian
0.000 0.000 0.000 Re
0.004 1.980 4.100 Re
-0.001 0.000 2.452 As
1.420 1.980 1.546 Ru
```

Entry 4:
This record from the Alexandria database describes crystalline Re4AsRu at its relaxed geometry. The functional is GGA-PBE.

Computed properties:
As for the formation enthalpy at 0 K: 0.79 eV per atom. Its volume is 16.436 Å³ per atom. The total magnetization is 0.00 μB/atom.

POSCAR file:
```
Re4AsRu
1.0
0.000 3.667 3.667
3.667 0.000 3.667
3.667 3.667 0.000
Re As Ru
4 1 1
Cartesian
0.918 0.918 0.918 Re
2.749 2.749 0.918 Re
2.749 0.918 2.749 Re
0.918 2.749 2.749 Re
3.667 3.667 3.667 As
5.500 5.500 5.500 Ru
```

Entry 5:
This record from the Alexandria database describes crystalline ReAsRu3 at its relaxed geometry. The functional is GGA-PBE.

Computed properties:
As for the formation enthalpy at 0 K: 1.66 eV per atom. Its volume is 20.470 Å³ per atom. The total magnetization is 0.24 μB/atom.

POSCAR file:
```
ReAsRu3
1.0
4.678 0.000 0.000
0.000 4.678 0.000
0.000 0.000 4.678
Re As Ru
1 1 3
Cartesian
0.000 0.000 0.000 Re
2.339 2.339 2.339 As
0.000 0.000 2.339 Ru
0.000 2.339 0.000 Ru
2.339 0.000 0.000 Ru
```

Entry 6:
This record from the Alexandria database describes crystalline Re2AsRu at its relaxed geometry. The functional is GGA-PBE.

Computed properties:
As for the formation enthalpy at 0 K: 0.21 eV per atom. Its volume is 14.506 Å³ per atom. The total magnetization is 0.00 μB/atom.

POSCAR file:
```
Re2AsRu
1.0
2.945 0.000 0.000
0.000 2.945 0.000
0.000 0.000 6.691
Re As Ru
2 1 1
Cartesian
0.000 0.000 1.569 Re
0.000 0.000 5.121 Re
1.472 1.472 0.000 As
1.472 1.472 3.345 Ru
```

Entry 7:
This record from the Alexandria database describes crystalline Re2AsRu at its relaxed geometry. The functional is GGA-PBE.

Computed properties:
As for the formation enthalpy at 0 K: 0.26 eV per atom. Its volume is 15.032 Å³ per atom. The total magnetization is 0.00 μB/atom.

POSCAR file:
```
Re2AsRu
1.0
2.869 0.000 0.000
0.000 3.951 0.000
0.000 0.000 5.303
Re As Ru
2 1 1
Cartesian
0.000 0.000 0.000 Re
1.435 1.976 1.033 Re
1.435 1.976 3.715 As
0.000 0.000 2.689 Ru
```

Entry 8:
This record from the Alexandria database describes crystalline Re2AsRu at its relaxed geometry. The functional is GGA-PBE.

Computed properties:
As for the formation enthalpy at 0 K: 0.24 eV per atom. Its volume is 14.763 Å³ per atom. The total magnetization is 0.00 μB/atom.

POSCAR file:
```
Re2AsRu
1.0
1.414 0.817 8.523
-1.414 0.817 8.523
0.000 -1.633 8.523
Re As Ru
2 1 1
Cartesian
0.000 0.000 6.369 Re
0.000 0.000 19.201 Re
0.000 0.000 12.785 As
0.000 0.000 0.000 Ru
```

Entry 9:
This record from the Alexandria database describes crystalline Re2AsRu at its relaxed geometry. The functional is GGA-PBE.

Computed properties:
As for the formation enthalpy at 0 K: 0.27 eV per atom. Its volume is 14.833 Å³ per atom. The total magnetization is 0.00 μB/atom.

POSCAR file:
```
Re2AsRu
1.0
2.808 0.000 0.000
0.000 4.070 0.000
-1.245 0.000 5.191
Re As Ru
2 1 1
Cartesian
0.020 0.000 1.312 Re
1.542 0.000 3.878 Re
0.781 2.035 2.595 As
1.404 2.035 0.000 Ru
```

Entry 10:
This record from the Alexandria database describes crystalline Re2AsRu at its relaxed geometry. The functional is GGA-PBE.

Computed properties:
As for the formation enthalpy at 0 K: 0.44 eV per atom. Its volume is 14.964 Å³ per atom. The total magnetization is 0.00 μB/atom.

POSCAR file:
```
Re2AsRu
1.0
2.526 -4.146 0.000
2.526 4.146 0.000
0.000 0.000 2.858
Re As Ru
2 1 1
Cartesian
1.263 2.073 0.000 Re
1.263 -2.073 0.000 Re
0.000 0.000 1.429 As
2.526 0.000 1.429 Ru
```

Entry 11:
This record from the Alexandria database describes crystalline Re2AsRu at its relaxed geometry. The functional is GGA-PBE.

Computed properties:
As for the formation enthalpy at 0 K: 0.13 eV per atom. Its volume is 14.766 Å³ per atom. The total magnetization is 0.00 μB/atom.

POSCAR file:
```
Re2AsRu
1.0
1.419 0.819 8.471
-1.419 0.819 8.471
0.000 -1.638 8.471
Re As Ru
2 1 1
Cartesian
0.000 0.000 0.000 Re
0.000 0.000 6.303 Re
0.000 0.000 19.057 As
0.000 0.000 12.605 Ru
```

Entry 12:
This record from the Alexandria database describes crystalline Re2AsRu at its relaxed geometry. The functional is GGA-PBE.

Computed properties:
As for the formation enthalpy at 0 K: 0.44 eV per atom. Its volume is 14.999 Å³ per atom. The total magnetization is 0.00 μB/atom.

POSCAR file:
```
Re2AsRu
1.0
0.000 3.107 3.107
3.107 0.000 3.107
3.107 3.107 0.000
Re As Ru
2 1 1
Cartesian
0.000 0.000 0.000 Re
1.554 1.554 1.554 Re
3.107 3.107 3.107 As
4.661 4.661 4.661 Ru
```

What did the fourth record say?
This record from the Alexandria database describes crystalline Re4AsRu at its relaxed geometry. The functional is GGA-PBE.

Computed properties:
As for the formation enthalpy at 0 K: 0.79 eV per atom. Its volume is 16.436 Å³ per atom. The total magnetization is 0.00 μB/atom.

POSCAR file:
```
Re4AsRu
1.0
0.000 3.667 3.667
3.667 0.000 3.667
3.667 3.667 0.000
Re As Ru
4 1 1
Cartesian
0.918 0.918 0.918 Re
2.749 2.749 0.918 Re
2.749 0.918 2.749 Re
0.918 2.749 2.749 Re
3.667 3.667 3.667 As
5.500 5.500 5.500 Ru
```